A plane-wave DFT calculation with PBE was carried out for a geometry-optimized NbTcN3 structure.

The spin magnetization is 0.594 μB/atom. The calculation puts the uncorrected formation energy at 5.0 eV/f.u. The volume is 66 Å³/cell. Its total DFT energy (no corrections) is -0.5938 Ry/atom.

The structure belongs to space group Pm-3m (No. 221); the cell edges are 4.048, 4.048 and 4.048 Å and the angles 90.00°, 90.00° and 90.00°. The asymmetric unit holds Nb at (0.000, 0.000, 0.000), Tc at (0.500, 0.500, 0.500) and N at (0.000, 0.000, 0.500).



A plane-wave DFT calculation with PBE was carried out for a geometry-optimized Nb2TcN structure.

The spin magnetization is 0.000 μB/atom. The calculation puts the uncorrected formation energy at 0.2 eV/f.u. The volume is 253 Å³/cell. For the excess energy over the best structure of this formula in the dataset, the calculation gives 10.8 kJ/mol of atoms. Its total DFT energy (no corrections) is -0.7105 Ry/atom.

The structure belongs to space group I-42d (No. 122); the cell edges are 6.099, 6.099 and 6.795 Å and the angles 90.00°, 90.00° and 90.00°. The asymmetric unit holds Nb at (0.176, 0.250, 0.125), Tc at (0.000, 0.000, 0.500) and N at (0.000, 0.000, 0.000).



A plane-wave DFT calculation with PBE was carried out for a geometry-optimized Nb3TcN structure.

The spin magnetization is 0.000 μB/atom. The calculation puts the uncorrected formation energy at -1.8 eV/f.u. The volume is 77 Å³/cell. For the excess energy over the best structure of this formula in the dataset, the calculation gives 0.0 kJ/mol of atoms. Its total DFT energy (no corrections) is -0.7449 Ry/atom.

The structure belongs to space group Pm-3m (No. 221); the cell edges are 4.248, 4.248 and 4.248 Å and the angles 90.00°, 90.00° and 90.00°. The asymmetric unit holds Nb at (0.000, 0.000, 0.500), Tc at (0.500, 0.500, 0.500) and N at (0.000, 0.000, 0.000).



A plane-wave DFT calculation with PBE was carried out for a geometry-optimized TiNb2TcN structure.

The spin magnetization is 0.000 μB/atom. The calculation puts the uncorrected formation energy at -2.6 eV/f.u. The volume is 74 Å³/cell. Its total DFT energy (no corrections) is -0.7257 Ry/atom.

The structure belongs to space group P4/mmm (No. 123); the cell edges are 4.355, 4.355 and 3.898 Å and the angles 90.00°, 90.00° and 90.00°. The asymmetric unit holds Ti at (0.000, 0.000, 0.000), Nb at (0.000, 0.500, 0.500), Tc at (0.500, 0.500, 0.000) and N at (0.000, 0.000, 0.500).



A plane-wave DFT calculation with PBE was carried out for a geometry-optimized Nb2VTcN structure.

The spin magnetization is 0.000 μB/atom. The calculation puts the uncorrected formation energy at -2.3 eV/f.u. The volume is 71 Å³/cell. Its total DFT energy (no corrections) is -0.7384 Ry/atom.

The structure belongs to space group P4/mmm (No. 123); the cell edges are 4.379, 4.379 and 3.724 Å and the angles 90.00°, 90.00° and 90.00°. The asymmetric unit holds Nb at (0.000, 0.500, 0.000), V at (0.000, 0.000, 0.500), Tc at (0.500, 0.500, 0.500) and N at (0.000, 0.000, 0.000).



A plane-wave DFT calculation with PBE was carried out for a geometry-optimized NbTcW2N structure.

The spin magnetization is 0.000 μB/atom. The calculation puts the uncorrected formation energy at 10.9 eV/f.u. The volume is 92 Å³/cell. Its total DFT energy (no corrections) is -0.6437 Ry/atom.

The structure belongs to space group P4/mmm (No. 123); the cell edges are 4.914, 4.914 and 3.815 Å and the angles 90.00°, 90.00° and 90.00°. The asymmetric unit holds Nb at (0.000, 0.000, 0.000), Tc at (0.500, 0.500, 0.500), W at (0.000, 0.500, 0.000) and N at (0.000, 0.000, 0.500).



Which of these has the lowest total DFT energy (no corrections)? Nb3TcN



Please write out number 5 again, unchanged.
A plane-wave DFT calculation with PBE was carried out for a geometry-optimized Nb2VTcN structure.

The spin magnetization is 0.000 μB/atom. The calculation puts the uncorrected formation energy at -2.3 eV/f.u. The volume is 71 Å³/cell. Its total DFT energy (no corrections) is -0.7384 Ry/atom.

The structure belongs to space group P4/mmm (No. 123); the cell edges are 4.379, 4.379 and 3.724 Å and the angles 90.00°, 90.00° and 90.00°. The asymmetric unit holds Nb at (0.000, 0.500, 0.000), V at (0.000, 0.000, 0.500), Tc at (0.500, 0.500, 0.500) and N at (0.000, 0.000, 0.000).



Which formula does entry 4 have? TiNb2TcN



Which of these has the highest total DFT energy (no corrections)? NbTcN3